Crystalline TbCe4Pr3S8 at its relaxed geometry. Source: Alexandria via LeMat-Bulk, functional GGA-PBE.

Cell and atoms, written as POSCAR:
```
TbCe4Pr3S8
1.0
8.092 0.000 0.000
0.000 8.092 -0.009
-4.046 -4.044 5.726
Tb Ce Pr S
1 4 3 8
Direct
0.000 0.500 0.000 Tb
0.500 0.000 0.000 Ce
0.500 0.000 0.500 Ce
0.000 0.000 0.000 Ce
0.000 0.000 0.500 Ce
0.500 0.500 0.000 Pr
0.500 0.500 0.500 Pr
0.000 0.500 0.500 Pr
0.246 0.751 0.004 S
0.246 0.751 0.493 S
0.248 0.244 0.496 S
0.758 0.751 0.004 S
0.242 0.249 0.996 S
0.752 0.756 0.504 S
0.754 0.249 0.507 S
0.754 0.249 0.996 S
```

As for the uncorrected energy: -6.76 eV per atom. The calculation puts the formation energy without anion corrections at -2031 meV/atom.


Crystalline Rb2BeCo2 at its relaxed geometry. Source: Alexandria via LeMat-Bulk, functional GGA-PBE.

Cell and atoms, written as POSCAR:
```
Rb2BeCo2
1.0
6.708 0.000 0.000
0.000 6.708 0.000
3.354 3.354 3.317
Be Co Rb
1 2 2
Direct
0.000 0.000 0.000 Be
0.665 0.665 0.671 Co
0.335 0.335 0.329 Co
0.750 0.250 0.500 Rb
0.250 0.750 0.500 Rb
```

As for the uncorrected energy: -2.78 eV per atom. The energy relative to the lowest polymorph listed for this composition comes out at 20.3 kJ/mol of atoms. The value obtained for the energy of formation is 1.190 eV per atom.


Crystalline Be2V2Co at its relaxed geometry. Source: Alexandria via LeMat-Bulk, functional GGA-PBE.

Cell and atoms, written as POSCAR:
```
Be2V2Co
1.0
-0.137 5.005 2.774
-3.553 2.101 -3.965
-2.517 -1.019 1.715
Be Co V
4 2 4
Direct
0.372 0.872 0.000 Be
0.872 0.628 0.000 Be
0.628 0.128 0.000 Be
0.128 0.372 0.000 Be
0.000 0.000 0.000 Co
0.500 0.500 0.000 Co
0.171 0.671 0.500 V
0.671 0.829 0.500 V
0.829 0.329 0.500 V
0.329 0.171 0.500 V
```

As for the uncorrected energy: -6.69 eV per atom. The value obtained for the energy of formation is -0.134 eV per atom.


Crystalline Na4Tb3SbO8 at its relaxed geometry. Source: Alexandria via LeMat-Bulk, functional GGA-PBE.

Cell and atoms, written as POSCAR:
```
Na4Tb3SbO8
1.0
6.905 0.000 0.000
0.000 6.875 -0.024
-3.452 -3.449 4.886
Na Tb Sb O
4 3 1 8
Direct
0.500 0.000 0.000 Na
0.500 0.000 0.500 Na
0.000 0.000 0.000 Na
0.000 0.000 0.500 Na
0.500 0.500 0.000 Tb
0.500 0.500 0.500 Tb
0.000 0.500 0.500 Tb
0.000 0.500 0.000 Sb
0.241 0.715 0.975 O
0.241 0.715 0.481 O
0.263 0.290 0.527 O
0.734 0.715 0.975 O
0.266 0.285 0.025 O
0.737 0.710 0.473 O
0.759 0.285 0.519 O
0.759 0.285 0.025 O
```

As for the uncorrected energy: -6.34 eV per atom. The calculation puts the formation energy without anion corrections at -2409 meV/atom.


Crystalline Ac2Pr3PuSe6 at its relaxed geometry. Source: Alexandria via LeMat-Bulk, functional GGA-PBE.

Cell and atoms, written as POSCAR:
```
Ac2Pr3PuSe6
1.0
4.299 0.000 0.000
0.000 8.672 0.305
-2.149 -2.501 9.077
Ac Pr Pu Se
2 3 1 6
Direct
0.836 0.669 0.672 Ac
0.164 0.331 0.328 Ac
0.500 0.500 0.000 Pr
0.832 0.163 0.663 Pr
0.168 0.837 0.337 Pr
0.500 0.000 0.000 Pu
0.336 0.925 0.673 Se
0.665 0.591 0.330 Se
0.664 0.075 0.327 Se
0.996 0.241 0.991 Se
0.004 0.759 0.009 Se
0.335 0.409 0.670 Se
```

As for the uncorrected energy: -6.61 eV per atom. The calculation puts the formation energy without anion corrections at -1797 meV/atom.


Crystalline LaCdGe at its relaxed geometry. Source: Alexandria via LeMat-Bulk, functional GGA-PBE.

Cell and atoms, written as POSCAR:
```
LaCdGe
1.0
4.370 0.000 0.000
0.000 4.549 0.000
0.000 -2.275 3.940
Ge Cd La
1 1 1
Direct
0.114 0.000 0.000 Ge
0.205 0.333 0.667 Cd
0.680 0.667 0.333 La
```

As for the uncorrected energy: -4.03 eV per atom. The value obtained for the energy of formation is -0.547 eV per atom.


Crystalline NaLi2RhF6 at its relaxed geometry. Source: Alexandria via LeMat-Bulk, functional GGA-PBE.

Cell and atoms, written as POSCAR:
```
NaLi2RhF6
1.0
4.987 -1.722 2.529
3.818 3.982 1.950
0.771 0.742 5.752
Na Li Rh F
1 2 1 6
Direct
0.500 0.500 0.500 Na
0.750 0.750 0.750 Li
0.250 0.250 0.250 Li
0.000 0.000 0.000 Rh
0.240 0.760 0.240 F
0.760 0.240 0.240 F
0.760 0.240 0.760 F
0.240 0.240 0.760 F
0.760 0.760 0.240 F
0.240 0.760 0.760 F
```

As for the uncorrected energy: -4.48 eV per atom. The energy relative to the lowest polymorph listed for this composition comes out at 24.9 kJ/mol of atoms. The calculation puts the formation energy without anion corrections at -2111 meV/atom.


Crystalline YTiBe2 at its relaxed geometry. Source: Alexandria via LeMat-Bulk, functional GGA-PBE.

Cell and atoms, written as POSCAR:
```
YTiBe2
1.0
0.000 3.185 3.185
3.185 0.000 3.185
3.185 3.185 0.000
Y Be Ti
1 2 1
Direct
0.500 0.500 0.500 Y
0.250 0.250 0.250 Be
0.750 0.750 0.750 Be
0.000 0.000 0.000 Ti
```

As for the uncorrected energy: -5.32 eV per atom. The energy relative to the lowest polymorph listed for this composition comes out at 11.1 kJ/mol of atoms. The value obtained for the energy of formation is 0.131 eV per atom.


Crystalline TiBe8Ir3 at its relaxed geometry. Source: Alexandria via LeMat-Bulk, functional GGA-PBE.

Cell and atoms, written as POSCAR:
```
TiBe8Ir3
1.0
-0.179 -4.279 -0.890
3.738 1.788 1.400
-1.911 -1.336 6.808
Ti Be Ir
1 8 3
Direct
0.000 0.000 0.562 Ti
0.333 0.667 0.497 Be
0.333 0.667 0.002 Be
0.503 0.006 0.758 Be
0.503 0.497 0.758 Be
0.994 0.497 0.758 Be
0.165 0.331 0.244 Be
0.165 0.835 0.244 Be
0.669 0.835 0.244 Be
0.667 0.333 0.453 Ir
0.667 0.333 0.067 Ir
0.000 0.000 0.914 Ir
```

As for the uncorrected energy: -5.90 eV per atom. The value obtained for the energy of formation is -0.547 eV per atom.


Crystalline CoMoPd at its relaxed geometry. Source: Alexandria via LeMat-Bulk, functional GGA-PBE.

Cell and atoms, written as POSCAR:
```
CoMoPd
1.0
2.632 0.000 0.000
0.000 4.296 0.000
0.000 -2.148 3.721
Mo Co Pd
1 1 1
Direct
0.667 0.333 0.667 Mo
0.166 0.000 0.000 Co
0.167 0.667 0.333 Pd
```

As for the uncorrected energy: -7.57 eV per atom. The energy relative to the lowest polymorph listed for this composition comes out at 9.4 kJ/mol of atoms. The value obtained for the energy of formation is 0.143 eV per atom.


Crystalline Ac2PrNd3N6 at its relaxed geometry. Source: Alexandria via LeMat-Bulk, functional GGA-PBE.

Cell and atoms, written as POSCAR:
```
Ac2PrNd3N6
1.0
3.738 0.000 0.000
0.000 7.501 0.262
-1.869 -2.168 7.911
Ac Pr Nd N
2 1 3 6
Direct
0.834 0.671 0.668 Ac
0.166 0.329 0.332 Ac
0.500 0.000 0.000 Pr
0.500 0.500 0.000 Nd
0.839 0.168 0.677 Nd
0.161 0.832 0.323 Nd
0.338 0.925 0.676 N
0.661 0.594 0.321 N
0.662 0.075 0.324 N
0.998 0.249 0.995 N
0.002 0.751 0.005 N
0.339 0.406 0.679 N
```

As for the uncorrected energy: -7.66 eV per atom. The calculation puts the formation energy without anion corrections at -1220 meV/atom.


Crystalline Ta4Rh2Pb at its relaxed geometry. Source: Alexandria via LeMat-Bulk, functional GGA-PBE.

Cell and atoms, written as POSCAR:
```
Ta4Rh2Pb
1.0
5.017 0.000 0.000
0.000 5.017 0.000
2.509 2.509 6.536
Pb Rh Ta
1 2 4
Direct
0.000 0.000 0.000 Pb
0.604 0.604 0.791 Rh
0.396 0.396 0.209 Rh
0.783 0.783 0.434 Ta
0.217 0.217 0.566 Ta
0.000 0.500 0.000 Ta
0.500 0.000 0.000 Ta
```

As for the uncorrected energy: -7.82 eV per atom. The value obtained for the energy of formation is 1.585 eV per atom.